A geometry-optimized CaSn2Hg2 structure. Source: the Alexandria database, functional PBE.

```
10
Lattice="8.207 0.000 0.000 0.000 8.207 0.000 0.000 0.000 4.039" Properties=species:S:1:pos:R:3 pbc="T T T"
Ca 0.000 0.000 0.000
Ca 4.103 4.103 0.000
Sn 1.436 2.668 2.020
Sn 2.668 6.771 2.020
Sn 5.539 1.436 2.020
Sn 6.771 5.539 2.020
Hg 1.059 5.162 0.000
Hg 3.045 1.059 0.000
Hg 5.162 7.148 0.000
Hg 7.148 3.045 0.000
```

Properties
Density: 8.3 Mg/m³
Magnetic moment: 0.000 μB per atom
DOS at the Fermi energy: 5.54 states/eV per cell
Calculated formation energy: -94 kJ/mol of formula units

A geometry-optimized La3Tb2Pr6Tm structure. Source: the Alexandria database, functional PBE.

```
12
Lattice="3.191 -5.532 0.000 3.191 5.532 0.000 -2.134 0.000 11.969" Properties=species:S:1:pos:R:3 pbc="T T T"
La 0.000 0.000 0.000
La 3.191 1.844 0.000
La 3.191 -1.844 0.000
Tb 2.124 3.688 5.985
Tb 2.124 -3.688 5.985
Pr 1.063 1.840 3.067
Pr 0.000 0.000 8.904
Pr 1.063 -1.840 3.067
Pr 3.185 1.840 8.902
Pr 4.248 0.000 3.065
Pr 3.185 -1.840 8.902
Tm 2.124 0.000 5.985
```

Properties
Density: 6.9 Mg/m³
Magnetic moment: 0.000 μB per atom
DOS at the Fermi energy: 19.16 states/eV per cell
Calculated formation energy: 21 kJ/mol of formula units